1.
An optimized crystal structure of RuRh2I, computed with GGA-PBE.

a b c (Å): 4.5416 4.5416 4.5416
angles (deg): 60.00 60.00 60.00
Each line ends with the local moment (μB).
Fractional coordinates of all 4 atoms:
I1 0.5000 0.5000 0.5000  0.00
Ru1 0.0000 0.0000 0.0000  0.47
Rh1 0.2500 0.2500 0.2500  0.12
Rh2 0.7500 0.7500 0.7500  0.12

Computed properties:
Uncorrected formation energy (kJ/mol of formula units): 309
Electronic total energy (eV/cell): -22.3
Space-group type: Fm-3m (225)


2.
An optimized crystal structure of Zr2InCo, computed with GGA-PBE.

a b c (Å): 9.0259 9.0259 9.0259
angles (deg): 20.73 20.73 20.73
Fractional coordinates of all 4 atoms:
Co1 0.5033 0.5033 0.5033
In1 0.7622 0.7622 0.7622
Zr1 0.9988 0.9988 0.9988
Zr2 0.2357 0.2357 0.2357

Computed properties:
Energy of formation (eV/atom): 0.048
Electronic total energy (eV/cell): -26.7
Space-group type: R3m (160)


3.
An optimized crystal structure of V2InSe, computed with GGA-PBE.

a b c (Å): 4.5292 4.5292 4.5292
angles (deg): 60.00 60.00 60.00
Fractional coordinates of all 4 atoms:
In1 0.5000 0.5000 0.5000
Se1 0.0000 0.0000 0.0000
V1 0.2500 0.2500 0.2500
V2 0.7500 0.7500 0.7500

Computed properties:
Uncorrected formation energy (kJ/mol of formula units): 131
Electronic total energy (eV/cell): -23.1
Space-group type: Fm-3m (225)


4.
An optimized crystal structure of LaZn3As, computed with GGA-PBE.

a b c (Å): 4.9174 4.9174 4.9174
angles (deg): 90.00 90.00 90.00
Fractional coordinates of all 5 atoms:
As1 0.0000 0.0000 0.0000
Zn1 0.0000 0.5000 0.0000
Zn2 0.0000 0.0000 0.5000
Zn3 0.5000 0.0000 0.0000
La1 0.5000 0.5000 0.5000

Computed properties:
Energy of formation (eV/atom): 0.095
Electronic total energy (eV/cell): -12.9
Space-group type: Pm-3m (221)


5.
An optimized crystal structure of PrPbI2, computed with GGA-PBE.

a b c (Å): 3.9685 3.9685 11.4424
angles (deg): 80.01 80.01 60.00
Fractional coordinates of all 4 atoms:
Pb1 0.0000 0.0000 0.0000
Pr1 0.5000 0.5000 0.5000
I1 0.0994 0.0994 0.7018
I2 0.9006 0.9006 0.2982

Computed properties:
Uncorrected formation energy (kJ/mol of formula units): -291
Electronic total energy (eV/cell): -14.6
Space-group type: R-3m (166)


6.
An optimized crystal structure of BaAs4Cl, computed with GGA-PBE.

a b c (Å): 6.0721 6.0721 6.0721
angles (deg): 60.00 60.00 60.00
Fractional coordinates of all 6 atoms:
Ba1 0.7500 0.7500 0.7500
As1 0.9354 0.3549 0.3549
As2 0.3549 0.3549 0.9354
As3 0.3549 0.9354 0.3549
As4 0.3549 0.3549 0.3549
Cl1 0.0000 0.0000 0.0000

Computed properties:
Uncorrected formation energy (kJ/mol of formula units): -296
Electronic total energy (eV/cell): -25.4
Space-group type: F-43m (216)


7.
An optimized crystal structure of SnPPb3, computed with GGA-PBE.

a b c (Å): 5.7518 5.7518 5.7518
angles (deg): 90.00 90.00 90.00
Fractional coordinates of all 5 atoms:
Pb1 0.0000 0.5000 0.0000
Pb2 0.0000 0.0000 0.5000
Pb3 0.5000 0.0000 0.0000
P1 0.5000 0.5000 0.5000
Sn1 0.0000 0.0000 0.0000

Computed properties:
Energy of formation (eV/atom): 0.898
Electronic total energy (eV/cell): -16.0
Space-group type: Pm-3m (221)


8.
An optimized crystal structure of IrBr2Cl, computed with GGA-PBE.

a b c (Å): 7.5029 7.5029 6.4571
angles (deg): 54.48 54.48 90.00
Fractional coordinates of all 8 atoms:
Ir1 0.0000 0.0000 0.0000
Ir2 0.7500 0.2500 0.5000
Br1 0.7130 0.1250 0.2500
Br2 0.0370 0.6250 0.2500
Br3 0.3750 0.2870 0.7500
Br4 0.8750 0.9630 0.7500
Cl1 0.5000 0.5000 0.0000
Cl2 0.2500 0.7500 0.5000

Computed properties:
Uncorrected formation energy (kJ/mol of formula units): 155
Electronic total energy (eV/cell): -24.9
Space-group type: I-42d (122)


9.
An optimized crystal structure of LiCa2GaIr, computed with GGA-PBE.

a b c (Å): 5.5174 5.5174 4.8279
angles (deg): 90.00 90.00 90.00
Fractional coordinates of all 5 atoms:
Ca1 0.0000 0.5000 0.0000
Ca2 0.5000 0.0000 0.0000
Ir1 0.0000 0.0000 0.0000
Ga1 0.0000 0.0000 0.5000
Li1 0.5000 0.5000 0.5000

Computed properties:
Energy of formation (eV/atom): -0.242
Electronic total energy (eV/cell): -19.0
Space-group type: P4/mmm (123)


10.
An optimized crystal structure of AsC2, computed with GGA-PBE.

a b c (Å): 4.7142 4.7142 3.1266
angles (deg): 90.00 90.00 90.00
Fractional coordinates of all 6 atoms:
As1 0.5000 0.5000 0.0000
As2 0.0000 0.0000 0.5000
C1 0.8021 0.8021 0.0000
C2 0.1979 0.1979 0.0000
C3 0.3021 0.6979 0.5000
C4 0.6979 0.3021 0.5000

Computed properties:
Energy of formation (eV/atom): 2.475
Electronic total energy (eV/cell): -31.3
Space-group type: P4_2/mnm (136)


11.
An optimized crystal structure of GdHfCd4, computed with GGA-PBE.

a b c (Å): 5.7946 5.7946 5.7946
angles (deg): 60.00 60.00 60.00
Each line ends with the local moment (μB).
Fractional coordinates of all 6 atoms:
Gd1 0.2500 0.2500 0.2500  -7.32
Hf1 0.0000 0.0000 0.0000  -0.63
Cd1 0.6254 0.6254 0.1237  -0.02
Cd2 0.6254 0.1237 0.6254  -0.02
Cd3 0.6254 0.6254 0.6254  -0.02
Cd4 0.1237 0.6254 0.6254  -0.02

Computed properties:
Energy of formation (eV/atom): -0.054
Electronic total energy (eV/cell): -28.0
Space-group type: F-43m (216)


12.
An optimized crystal structure of Mg5CdPb3, computed with GGA-PBE.

a b c (Å): 6.2047 9.1407 9.1363
angles (deg): 120.02 90.00 90.00
Fractional coordinates of all 18 atoms:
Mg1 0.0000 0.6667 0.3334
Mg2 0.5000 0.3333 0.6666
Mg3 0.0000 0.3333 0.6666
Mg4 0.5000 0.6667 0.3334
Mg5 0.7500 0.7154 0.7155
Mg6 0.7500 0.9999 0.2845
Mg7 0.7500 0.2845 0.0000
Mg8 0.2500 0.2846 0.2845
Mg9 0.2500 0.0001 0.7155
Mg10 0.2500 0.7155 0.0000
Cd1 0.0000 0.0000 0.0000
Cd2 0.5000 0.0000 0.0000
Pb1 0.7500 0.3836 0.3836
Pb2 0.7500 0.0000 0.6164
Pb3 0.7500 0.6161 0.0000
Pb4 0.2500 0.6164 0.6164
Pb5 0.2500 0.0000 0.3836
Pb6 0.2500 0.3839 0.0000

Computed properties:
Energy of formation (eV/atom): -0.032
Electronic total energy (eV/cell): -40.6
Space-group type: P6_3/mcm (193)